[1]
Ba2Li3MgSn4 | GGA-PBE | relaxed

Cell and atoms, written as POSCAR:
```
Ba2Li3MgSn4
1.0
-0.238 -2.595 -4.031
4.736 0.496 -0.599
1.863 -10.082 6.381
Sn Li Ba Mg
4 3 2 1
Direct
0.500 0.000 0.633
0.000 0.000 0.000
0.000 0.500 0.367
0.500 0.500 0.000
0.000 0.500 0.133
0.500 0.000 0.867
0.000 0.000 0.500
0.000 0.500 0.750
0.500 0.000 0.250
0.500 0.500 0.500
```

Output
Mass density: 4.743 g/cm³
ΔH_f (0 K): -471 meV/atom
Space group: P-4m2 (115)
Total magnetic moment: 0.00 μB per atom

***

[2]
BaLiMgSn2 | GGA-PBE | relaxed

Cell and atoms, written as POSCAR:
```
BaLiMgSn2
1.0
-4.800 0.226 0.749
0.287 -3.821 2.994
3.173 5.579 2.865
Mg Sn Li Ba
1 2 1 1
Direct
0.750 0.250 0.500
0.618 0.618 0.237
0.382 0.382 0.763
0.250 0.750 0.500
0.000 0.000 0.000
```

Output
Mass density: 4.651 g/cm³
ΔH_f (0 K): -507 meV/atom
Space group: I-4m2 (119)
Total magnetic moment: 0.00 μB per atom

***

[3]
Ba2Li3Mg12Sn | GGA-PBE | relaxed

Cell and atoms, written as POSCAR:
```
Ba2Li3Mg12Sn
1.0
11.911 2.804 1.989
8.320 8.973 1.989
8.320 4.843 7.811
Li Mg Sn Ba
3 12 1 2
Direct
0.000 0.500 0.000
0.000 0.000 0.500
0.500 0.000 0.000
0.592 0.182 0.592
0.592 0.592 0.182
0.182 0.592 0.592
0.408 0.408 0.818
0.907 0.389 0.907
0.093 0.611 0.093
0.907 0.907 0.389
0.408 0.818 0.408
0.611 0.093 0.093
0.093 0.093 0.611
0.818 0.408 0.408
0.389 0.907 0.907
0.000 0.000 0.000
0.358 0.358 0.358
0.642 0.642 0.642
```

Output
Mass density: 2.272 g/cm³
ΔH_f (0 K): 88 meV/atom
Space group: R-3m (166)
Total magnetic moment: 0.00 μB per atom